1.
Compound: SmMnTcP2
Source: Alexandria via LeMat-Bulk
Functional: PBE-GGA
Structure: relaxed

Summary:
The space-group type is No. 119. The formation enthalpy at 0 K is -879 meV/atom. For the total energy, the calculation gives -39.472 eV per cell.

```
data_SmMnTcP2
_cell_length_a 4.0091
_cell_length_b 4.0091
_cell_length_c 5.7491
_cell_angle_alpha 110.41
_cell_angle_beta 110.41
_cell_angle_gamma 90.00
_space_group_name_H-M_alt 'P 1'
_space_group_IT_number 1
_space_group_name_Hall 'P 1'
loop_
_atom_site_label
_atom_site_type_symbol
_atom_site_fract_x
_atom_site_fract_y
_atom_site_fract_z
Tc1 Tc 0.2500 0.7500 0.5000
P1 P 0.3679 0.3679 0.7358
P2 P 0.6321 0.6321 0.2642
Mn1 Mn 0.7500 0.2500 0.5000
Sm1 Sm 0.0000 0.0000 0.0000
```


2.
Compound: MnSnP
Source: Alexandria via LeMat-Bulk
Functional: PBE-GGA
Structure: relaxed

Summary:
The space-group type is No. 14. The formation enthalpy at 0 K is -62 meV/atom. For the total energy, the calculation gives -75.077 eV per cell.

```
data_MnSnP
_cell_length_a 6.5824
_cell_length_b 5.4518
_cell_length_c 6.2376
_cell_angle_alpha 111.36
_cell_angle_beta 90.00
_cell_angle_gamma 90.00
_space_group_name_H-M_alt 'P 1'
_space_group_IT_number 1
_space_group_name_Hall 'P 1'
loop_
_atom_site_label
_atom_site_type_symbol
_atom_site_fract_x
_atom_site_fract_y
_atom_site_fract_z
Mn1 Mn 0.9715 0.6732 0.7161
Mn2 Mn 0.0285 0.3268 0.2839
Mn3 Mn 0.5285 0.6732 0.2161
Mn4 Mn 0.4715 0.3268 0.7839
Sn1 Sn 0.8634 0.1903 0.8549
Sn2 Sn 0.3634 0.8097 0.6451
Sn3 Sn 0.6366 0.1903 0.3549
Sn4 Sn 0.1366 0.8097 0.1451
P1 P 0.1771 0.3333 0.6052
P2 P 0.8229 0.6667 0.3948
P3 P 0.6771 0.6667 0.8948
P4 P 0.3229 0.3333 0.1052
```


3.
Compound: MnSnP2
Source: Alexandria via LeMat-Bulk
Functional: PBE-GGA
Structure: relaxed

Summary:
The space-group type is No. 166. The formation enthalpy at 0 K is 457 meV/atom. For the total energy, the calculation gives -22.165 eV per cell.

```
data_MnSnP2
_cell_length_a 3.8564
_cell_length_b 3.8564
_cell_length_c 7.8660
_cell_angle_alpha 75.81
_cell_angle_beta 75.81
_cell_angle_gamma 60.00
_space_group_name_H-M_alt 'P 1'
_space_group_IT_number 1
_space_group_name_Hall 'P 1'
loop_
_atom_site_label
_atom_site_type_symbol
_atom_site_fract_x
_atom_site_fract_y
_atom_site_fract_z
P1 P 0.8986 0.8986 0.3041
P2 P 0.1014 0.1014 0.6959
Sn1 Sn 0.5000 0.5000 0.5000
Mn1 Mn 0.0000 0.0000 0.0000
```


4.
Compound: MnSn3P
Source: Alexandria via LeMat-Bulk
Functional: PBE-GGA
Structure: relaxed

Summary:
The space-group type is No. 221. The formation enthalpy at 0 K is 1211 meV/atom. The energy relative to the lowest polymorph listed for this composition is 768 meV per atom. For the total energy, the calculation gives -20.533 eV per cell.

```
data_MnSn3P
_cell_length_a 5.2211
_cell_length_b 5.2211
_cell_length_c 5.2211
_cell_angle_alpha 90.00
_cell_angle_beta 90.00
_cell_angle_gamma 90.00
_space_group_name_H-M_alt 'P 1'
_space_group_IT_number 1
_space_group_name_Hall 'P 1'
loop_
_atom_site_label
_atom_site_type_symbol
_atom_site_fract_x
_atom_site_fract_y
_atom_site_fract_z
Sn1 Sn 0.5000 0.0000 0.0000
Sn2 Sn 0.0000 0.5000 0.0000
Sn3 Sn 0.0000 0.0000 0.5000
Mn1 Mn 0.5000 0.5000 0.5000
P1 P 0.0000 0.0000 0.0000
```